A plane-wave DFT calculation with PBE was carried out for a relaxed structure of In2AgSb.

Cell and atoms, written as CIF:
```
data_In2AgSb
_symmetry_space_group_name_H-M 'P 1'
_symmetry_Int_Tables_number 1
_cell_length_a 6.738
_cell_length_b 8.736
_cell_length_c 3.370
_cell_angle_alpha 90.00
_cell_angle_beta 90.00
_cell_angle_gamma 90.00
loop_
_symmetry_equiv_pos_as_xyz
'x,y,z'
loop_
_atom_site_label
_atom_site_type_symbol
_atom_site_fract_x
_atom_site_fract_y
_atom_site_fract_z
_atom_site_occupancy
In1 In 0.250 0.250 0.000 1
In2 In 0.250 0.750 0.000 1
In3 In 0.750 0.250 0.000 1
In4 In 0.750 0.750 0.000 1
Ag1 Ag 0.000 0.000 0.500 1
Ag2 Ag 0.500 0.500 0.500 1
Sb1 Sb 0.000 0.500 0.500 1
Sb2 Sb 0.500 0.000 0.500 1
```

## Properties
Symmetry: Cmmm (65)
Formation energy from raw total energies in eV/f.u.: 0.38
Volume in A^3/atom: 24.8

***

A plane-wave DFT calculation with PBE was carried out for a relaxed structure of Ca3Dy2YS6.

Cell and atoms, written as CIF:
```
data_Ca3Dy2YS6
_symmetry_space_group_name_H-M 'P 1'
_symmetry_Int_Tables_number 1
_cell_length_a 6.823
_cell_length_b 6.823
_cell_length_c 6.930
_cell_angle_alpha 99.47
_cell_angle_beta 99.47
_cell_angle_gamma 119.95
loop_
_symmetry_equiv_pos_as_xyz
'x,y,z'
loop_
_atom_site_label
_atom_site_type_symbol
_atom_site_fract_x
_atom_site_fract_y
_atom_site_fract_z
_atom_site_occupancy
Ca1 Ca 0.000 0.000 0.000 1
Ca2 Ca 0.333 0.667 0.000 1
Ca3 Ca 0.667 0.333 0.000 1
Dy1 Dy 0.167 0.833 0.500 1
Dy2 Dy 0.833 0.167 0.500 1
Y1 Y 0.500 0.500 0.500 1
S1 S 0.084 0.418 0.255 1
S2 S 0.248 0.248 0.745 1
S3 S 0.418 0.084 0.255 1
S4 S 0.582 0.916 0.745 1
S5 S 0.752 0.752 0.255 1
S6 S 0.916 0.582 0.745 1
```

## Properties
Symmetry: C2/m (12)
Formation energy from raw total energies in eV/f.u.: -24.69
Volume in A^3/atom: 22.0

***

A plane-wave DFT calculation with PBE was carried out for a relaxed structure of Tm8ZnHg2.

Cell and atoms, written as CIF:
```
data_Tm8ZnHg2
_symmetry_space_group_name_H-M 'P 1'
_symmetry_Int_Tables_number 1
_cell_length_a 9.212
_cell_length_b 9.212
_cell_length_c 6.807
_cell_angle_alpha 105.03
_cell_angle_beta 105.03
_cell_angle_gamma 32.24
loop_
_symmetry_equiv_pos_as_xyz
'x,y,z'
loop_
_atom_site_label
_atom_site_type_symbol
_atom_site_fract_x
_atom_site_fract_y
_atom_site_fract_z
_atom_site_occupancy
Tm1 Tm 0.024 0.024 0.274 1
Tm2 Tm 0.198 0.198 0.807 1
Tm3 Tm 0.339 0.339 0.532 1
Tm4 Tm 0.409 0.409 0.048 1
Tm5 Tm 0.591 0.591 0.952 1
Tm6 Tm 0.661 0.661 0.468 1
Tm7 Tm 0.802 0.802 0.193 1
Tm8 Tm 0.976 0.976 0.726 1
Zn1 Zn 0.500 0.500 0.500 1
Hg1 Hg 0.187 0.187 0.225 1
Hg2 Hg 0.813 0.813 0.775 1
```

## Properties
Symmetry: C2/m (12)
Volume in A^3/atom: 27.0
DFT formation energy in eV/atom: -0.21

***

A plane-wave DFT calculation with PBE was carried out for a relaxed structure of La2TiO.

Cell and atoms, written as CIF:
```
data_La2TiO
_symmetry_space_group_name_H-M 'P 1'
_symmetry_Int_Tables_number 1
_cell_length_a 7.264
_cell_length_b 7.264
_cell_length_c 8.282
_cell_angle_alpha 90.00
_cell_angle_beta 90.00
_cell_angle_gamma 90.00
loop_
_symmetry_equiv_pos_as_xyz
'x,y,z'
loop_
_atom_site_label
_atom_site_type_symbol
_atom_site_fract_x
_atom_site_fract_y
_atom_site_fract_z
_atom_site_occupancy
La1 La 0.142 0.250 0.125 1
La2 La 0.250 0.642 0.375 1
La3 La 0.250 0.858 0.875 1
La4 La 0.358 0.250 0.625 1
La5 La 0.642 0.750 0.625 1
La6 La 0.750 0.142 0.875 1
La7 La 0.750 0.358 0.375 1
La8 La 0.858 0.750 0.125 1
Ti1 Ti 0.000 0.000 0.500 1
Ti2 Ti 0.000 0.500 0.750 1
Ti3 Ti 0.500 0.000 0.250 1
Ti4 Ti 0.500 0.500 0.000 1
O1 O 0.000 0.000 0.000 1
O2 O 0.000 0.500 0.250 1
O3 O 0.500 0.000 0.750 1
O4 O 0.500 0.500 0.500 1
```

## Properties
Symmetry: I-42d (122)
Formation energy from raw total energies in eV/f.u.: -3.40
Volume in A^3/atom: 27.3

***

A plane-wave DFT calculation with PBE was carried out for a relaxed structure of Mg3BiN.

Cell and atoms, written as CIF:
```
data_Mg3BiN
_symmetry_space_group_name_H-M 'P 1'
_symmetry_Int_Tables_number 1
_cell_length_a 8.340
_cell_length_b 8.340
_cell_length_c 5.813
_cell_angle_alpha 90.11
_cell_angle_beta 90.11
_cell_angle_gamma 72.64
loop_
_symmetry_equiv_pos_as_xyz
'x,y,z'
loop_
_atom_site_label
_atom_site_type_symbol
_atom_site_fract_x
_atom_site_fract_y
_atom_site_fract_z
_atom_site_occupancy
Mg1 Mg 0.038 0.463 0.721 1
Mg2 Mg 0.102 0.192 0.123 1
Mg3 Mg 0.192 0.102 0.623 1
Mg4 Mg 0.308 0.398 0.124 1
Mg5 Mg 0.398 0.308 0.624 1
Mg6 Mg 0.463 0.038 0.221 1
Mg7 Mg 0.537 0.962 0.779 1
Mg8 Mg 0.602 0.692 0.376 1
Mg9 Mg 0.692 0.602 0.876 1
Mg10 Mg 0.808 0.898 0.377 1
Mg11 Mg 0.898 0.808 0.877 1
Mg12 Mg 0.962 0.537 0.279 1
Bi1 Bi 0.179 0.821 0.250 1
Bi2 Bi 0.321 0.679 0.750 1
Bi3 Bi 0.679 0.321 0.250 1
Bi4 Bi 0.821 0.179 0.750 1
N1 N 0.170 0.330 0.415 1
N2 N 0.330 0.170 0.915 1
N3 N 0.670 0.830 0.085 1
N4 N 0.830 0.670 0.585 1
```

## Properties
Symmetry: C2/c (15)
Formation energy from raw total energies in eV/f.u.: -1.20
Volume in A^3/atom: 19.3

***

A plane-wave DFT calculation with PBE was carried out for a relaxed structure of KRbTe2As.

Cell and atoms, written as CIF:
```
data_KRbTe2As
_symmetry_space_group_name_H-M 'P 1'
_symmetry_Int_Tables_number 1
_cell_length_a 8.442
_cell_length_b 8.442
_cell_length_c 6.839
_cell_angle_alpha 90.00
_cell_angle_beta 90.00
_cell_angle_gamma 130.73
loop_
_symmetry_equiv_pos_as_xyz
'x,y,z'
loop_
_atom_site_label
_atom_site_type_symbol
_atom_site_fract_x
_atom_site_fract_y
_atom_site_fract_z
_atom_site_occupancy
K1 K 0.250 0.250 0.000 1
K2 K 0.750 0.750 0.000 1
Rb1 Rb 0.250 0.750 0.759 1
Rb2 Rb 0.750 0.250 0.241 1
Te1 Te 0.152 0.848 0.274 1
Te2 Te 0.348 0.652 0.274 1
Te3 Te 0.652 0.348 0.726 1
Te4 Te 0.848 0.152 0.726 1
As1 As 0.000 0.000 0.500 1
As2 As 0.500 0.500 0.500 1
```

## Properties
Symmetry: Cmme (67)
Formation energy from raw total energies in eV/f.u.: -2.13
Volume in A^3/atom: 36.9

***

A plane-wave DFT calculation with PBE was carried out for a relaxed structure of Sm9Tm4Hg11.

Cell and atoms, written as CIF:
```
data_Sm9Tm4Hg11
_symmetry_space_group_name_H-M 'P 1'
_symmetry_Int_Tables_number 1
_cell_length_a 14.011
_cell_length_b 14.011
_cell_length_c 3.539
_cell_angle_alpha 90.00
_cell_angle_beta 90.00
_cell_angle_gamma 111.54
loop_
_symmetry_equiv_pos_as_xyz
'x,y,z'
loop_
_atom_site_label
_atom_site_type_symbol
_atom_site_fract_x
_atom_site_fract_y
_atom_site_fract_z
_atom_site_occupancy
Sm1 Sm 0.000 0.000 0.000 1
Sm2 Sm 0.132 0.643 0.000 1
Sm3 Sm 0.293 0.457 0.000 1
Sm4 Sm 0.357 0.868 0.000 1
Sm5 Sm 0.457 0.293 0.000 1
Sm6 Sm 0.543 0.707 0.000 1
Sm7 Sm 0.643 0.132 0.000 1
Sm8 Sm 0.707 0.543 0.000 1
Sm9 Sm 0.868 0.357 0.000 1
Tm1 Tm 0.056 0.247 0.000 1
Tm2 Tm 0.247 0.056 0.000 1
Tm3 Tm 0.753 0.944 0.000 1
Tm4 Tm 0.944 0.753 0.000 1
Hg1 Hg 0.084 0.439 0.500 1
Hg2 Hg 0.137 0.863 0.500 1
Hg3 Hg 0.229 0.229 0.500 1
Hg4 Hg 0.335 0.665 0.500 1
Hg5 Hg 0.439 0.084 0.500 1
Hg6 Hg 0.500 0.500 0.500 1
Hg7 Hg 0.561 0.916 0.500 1
Hg8 Hg 0.665 0.335 0.500 1
Hg9 Hg 0.771 0.771 0.500 1
Hg10 Hg 0.863 0.137 0.500 1
Hg11 Hg 0.916 0.561 0.500 1
```

## Properties
Symmetry: Cmmm (65)
Volume in A^3/atom: 26.9
DFT formation energy in eV/atom: -0.38

***

A plane-wave DFT calculation with PBE was carried out for a relaxed structure of ZrSb2Rh.

Cell and atoms, written as CIF:
```
data_ZrSb2Rh
_symmetry_space_group_name_H-M 'P 1'
_symmetry_Int_Tables_number 1
_cell_length_a 3.129
_cell_length_b 4.904
_cell_length_c 5.775
_cell_angle_alpha 90.00
_cell_angle_beta 105.67
_cell_angle_gamma 90.00
loop_
_symmetry_equiv_pos_as_xyz
'x,y,z'
loop_
_atom_site_label
_atom_site_type_symbol
_atom_site_fract_x
_atom_site_fract_y
_atom_site_fract_z
_atom_site_occupancy
Zr1 Zr 0.000 0.000 0.000 1
Sb1 Sb 0.407 0.500 0.813 1
Sb2 Sb 0.730 0.000 0.459 1
Rh1 Rh 0.642 0.500 0.287 1
```

## Properties
Symmetry: Pm (6)
Formation energy from raw total energies in eV/f.u.: -1.43
Volume in A^3/atom: 21.3

***

A plane-wave DFT calculation with PBE was carried out for a relaxed structure of Ba5Cd3.

Cell and atoms, written as CIF:
```
data_Ba5Cd3
_symmetry_space_group_name_H-M 'P 1'
_symmetry_Int_Tables_number 1
_cell_length_a 10.576
_cell_length_b 10.576
_cell_length_c 7.545
_cell_angle_alpha 90.00
_cell_angle_beta 90.00
_cell_angle_gamma 120.00
loop_
_symmetry_equiv_pos_as_xyz
'x,y,z'
loop_
_atom_site_label
_atom_site_type_symbol
_atom_site_fract_x
_atom_site_fract_y
_atom_site_fract_z
_atom_site_occupancy
Ba1 Ba 0.000 0.260 0.250 1
Ba2 Ba 0.000 0.740 0.750 1
Ba3 Ba 0.260 0.000 0.250 1
Ba4 Ba 0.260 0.260 0.750 1
Ba5 Ba 0.333 0.667 0.000 1
Ba6 Ba 0.333 0.667 0.500 1
Ba7 Ba 0.667 0.333 0.000 1
Ba8 Ba 0.667 0.333 0.500 1
Ba9 Ba 0.740 0.000 0.750 1
Ba10 Ba 0.740 0.740 0.250 1
Cd1 Cd 0.000 0.396 0.750 1
Cd2 Cd 0.000 0.604 0.250 1
Cd3 Cd 0.396 0.000 0.750 1
Cd4 Cd 0.396 0.396 0.250 1
Cd5 Cd 0.604 0.000 0.250 1
Cd6 Cd 0.604 0.604 0.750 1
```

## Properties
Symmetry: P6_3/mcm (193)
Volume in A^3/atom: 45.7
DFT formation energy in eV/atom: -0.20

***

A plane-wave DFT calculation with PBE was carried out for a relaxed structure of K2SrTa.

Cell and atoms, written as CIF:
```
data_K2SrTa
_symmetry_space_group_name_H-M 'P 1'
_symmetry_Int_Tables_number 1
_cell_length_a 6.189
_cell_length_b 6.189
_cell_length_c 8.805
_cell_angle_alpha 90.00
_cell_angle_beta 90.00
_cell_angle_gamma 90.00
loop_
_symmetry_equiv_pos_as_xyz
'x,y,z'
loop_
_atom_site_label
_atom_site_type_symbol
_atom_site_fract_x
_atom_site_fract_y
_atom_site_fract_z
_atom_site_occupancy
K1 K 0.000 0.000 0.000 1
K2 K 0.000 0.500 0.250 1
K3 K 0.500 0.000 0.750 1
K4 K 0.500 0.500 0.500 1
Sr1 Sr 0.000 0.500 0.750 1
Sr2 Sr 0.500 0.000 0.250 1
Ta1 Ta 0.000 0.000 0.500 1
Ta2 Ta 0.500 0.500 0.000 1
```

## Properties
Symmetry: I-4m2 (119)
Volume in A^3/atom: 42.2
DFT formation energy in eV/atom: 1.25

***

A plane-wave DFT calculation with PBE was carried out for a relaxed structure of MnSi2Au.

Cell and atoms, written as CIF:
```
data_MnSi2Au
_symmetry_space_group_name_H-M 'P 1'
_symmetry_Int_Tables_number 1
_cell_length_a 6.304
_cell_length_b 6.304
_cell_length_c 6.304
_cell_angle_alpha 90.00
_cell_angle_beta 90.00
_cell_angle_gamma 90.00
loop_
_symmetry_equiv_pos_as_xyz
'x,y,z'
loop_
_atom_site_label
_atom_site_type_symbol
_atom_site_fract_x
_atom_site_fract_y
_atom_site_fract_z
_atom_site_occupancy
Mn1 Mn 0.000 0.000 0.000 1
Mn2 Mn 0.000 0.500 0.500 1
Mn3 Mn 0.500 0.000 0.500 1
Mn4 Mn 0.500 0.500 0.000 1
Si1 Si 0.000 0.000 0.500 1
Si2 Si 0.000 0.500 0.000 1
Si3 Si 0.250 0.250 0.250 1
Si4 Si 0.250 0.750 0.750 1
Si5 Si 0.500 0.000 0.000 1
Si6 Si 0.500 0.500 0.500 1
Si7 Si 0.750 0.250 0.750 1
Si8 Si 0.750 0.750 0.250 1
Au1 Au 0.250 0.250 0.750 1
Au2 Au 0.250 0.750 0.250 1
Au3 Au 0.750 0.250 0.250 1
Au4 Au 0.750 0.750 0.750 1
```

## Properties
Symmetry: F-43m (216)
Formation energy from raw total energies in eV/f.u.: 1.53
Volume in A^3/atom: 15.7

***

A plane-wave DFT calculation with PBE was carried out for a relaxed structure of Sr4MgSn3O12.

Cell and atoms, written as CIF:
```
data_Sr4MgSn3O12
_symmetry_space_group_name_H-M 'P 1'
_symmetry_Int_Tables_number 1
_cell_length_a 7.119
_cell_length_b 7.119
_cell_length_c 7.119
_cell_angle_alpha 109.47
_cell_angle_beta 109.47
_cell_angle_gamma 109.47
loop_
_symmetry_equiv_pos_as_xyz
'x,y,z'
loop_
_atom_site_label
_atom_site_type_symbol
_atom_site_fract_x
_atom_site_fract_y
_atom_site_fract_z
_atom_site_occupancy
Sr1 Sr 0.000 0.000 0.500 1
Sr2 Sr 0.000 0.500 0.000 1
Sr3 Sr 0.500 0.000 0.000 1
Sr4 Sr 0.500 0.500 0.500 1
Mg1 Mg 0.000 0.000 0.000 1
Sn1 Sn 0.000 0.500 0.500 1
Sn2 Sn 0.500 0.000 0.500 1
Sn3 Sn 0.500 0.500 0.000 1
O1 O 0.000 0.252 0.252 1
O2 O 0.000 0.748 0.748 1
O3 O 0.250 0.500 0.750 1
O4 O 0.250 0.750 0.500 1
O5 O 0.252 0.000 0.252 1
O6 O 0.252 0.252 0.000 1
O7 O 0.500 0.250 0.750 1
O8 O 0.500 0.750 0.250 1
O9 O 0.748 0.000 0.748 1
O10 O 0.748 0.748 0.000 1
O11 O 0.750 0.250 0.500 1
O12 O 0.750 0.500 0.250 1
```

## Properties
Symmetry: Im-3m (229)
Formation energy from raw total energies in eV/f.u.: -42.34
Volume in A^3/atom: 13.9

***

The lowest volume belongs to which entry? Sr4MgSn3O12

***

volume of number 9 (Ba5Cd3)? 45.7 A^3/atom

***

Number 2 is which compound? Ca3Dy2YS6

***

Look up the volume of the second one. 22.0 A^3/atom